No. 1
First-principles (PBE) data for a geometry-optimized Ta2Au structure, as listed in Alexandria via LeMat-Bulk.

Cell: 4.468 12.994 3.697 Å, 90.00 90.00 90.00°
Space group Cmcm (No. 63)
Inequivalent atoms, fractional coordinates:
Ta1 0.000 0.081 0.250 x4
Ta2 0.000 0.246 0.750 x4
Au1 0.000 0.416 0.250 x4

Output
V (Å³/cell): 214.62
Magnetization (μB per cell): 0.00
ΔH_f (0 K) (eV per atom): 0.00

=====

No. 2
First-principles (PBE) data for a geometry-optimized Ta2Au structure, as listed in Alexandria via LeMat-Bulk.

Cell: 2.850 4.271 19.428 Å, 90.00 90.00 90.00°
Space group Imma (No. 74)
Inequivalent atoms, fractional coordinates:
Ta1 0.000 0.250 0.044 x4
Ta2 0.000 0.250 0.187 x4
Au1 0.000 0.250 0.618 x4

Output
V (Å³/cell): 236.48
Magnetization (μB per cell): 0.00
ΔH_f (0 K) (eV per atom): 0.50

=====

No. 3
First-principles (PBE) data for a geometry-optimized Ta3Au4 structure, as listed in Alexandria via LeMat-Bulk.

Cell: 3.460 3.460 20.897 Å, 90.00 90.00 90.00°
Space group I4/mmm (No. 139)
Inequivalent atoms, fractional coordinates:
Ta1 0.000 0.000 0.000 x2
Ta2 0.000 0.000 0.285 x4
Au1 0.000 0.000 0.141 x4
Au2 0.000 0.000 0.429 x4

Output
V (Å³/cell): 250.14
Magnetization (μB per cell): 0.00
ΔH_f (0 K) (eV per atom): -0.03

=====

No. 4
First-principles (PBE) data for a geometry-optimized Ta2Au structure, as listed in Alexandria via LeMat-Bulk.

Cell: 2.764 16.098 4.899 Å, 90.00 90.00 90.00°
Space group Cmcm (No. 63)
Inequivalent atoms, fractional coordinates:
Ta1 0.000 0.046 0.250 x4
Ta2 0.000 0.376 0.250 x4
Au1 0.000 0.286 0.750 x4

Output
V (Å³/cell): 217.98
Magnetization (μB per cell): 0.00
ΔH_f (0 K) (eV per atom): 0.10